Below is an optimized crystal structure of NdHo2PaP4, with properties calculated at the PBE-GGA level.

Unit cell a=6.9311 b=4.0270 c=6.9810 alpha=90.00 beta=109.48 gamma=90.00
Space group P2/m (No. 10)
Inequivalent atoms, fractional coordinates:
Nd 0.0000 0.0000 0.0000 (multiplicity 1)
Ho 0.5000 0.0000 0.5000 (multiplicity 1)
Ho 0.5000 0.5000 0.0000 (multiplicity 1)
Pa 0.0000 0.5000 0.5000 (multiplicity 1)
P 0.2506 0.0000 0.7429 (multiplicity 2)
P 0.2541 0.5000 0.2613 (multiplicity 2)

Properties
The calculation puts the theoretical density at 7.49 g/cm³. As for the total magnetization: 0.001 μB/cell. The value obtained for the formation enthalpy at 0 K is -1517 meV per atom.

Below is an optimized crystal structure of Nd2HoPaP4, with properties calculated at the PBE-GGA level.

Unit cell a=7.0097 b=4.0676 c=7.0675 alpha=90.00 beta=109.40 gamma=90.00
Space group P2/m (No. 10)
Inequivalent atoms, fractional coordinates:
Nd 0.0000 0.0000 0.0000 (multiplicity 1)
Nd 0.5000 0.5000 0.0000 (multiplicity 1)
Ho 0.0000 0.5000 0.5000 (multiplicity 1)
Pa 0.5000 0.0000 0.5000 (multiplicity 1)
P 0.2496 0.0000 0.7350 (multiplicity 2)
P 0.2579 0.5000 0.2657 (multiplicity 2)

Properties
The calculation puts the theoretical density at 7.06 g/cm³. As for the total magnetization: 0.000 μB/cell. The value obtained for the formation enthalpy at 0 K is -1513 meV per atom.

Below is an optimized crystal structure of Nd3Ho2PaP6, with properties calculated at the PBE-GGA level.

Unit cell a=7.0325 b=12.1814 c=7.0676 alpha=90.00 beta=109.33 gamma=90.00
Space group C2/m (No. 12)
Inequivalent atoms, fractional coordinates:
Nd 0.0000 0.0000 0.0000 (multiplicity 2)
Nd 0.0000 0.3319 0.0000 (multiplicity 4)
Ho 0.0000 0.1663 0.5000 (multiplicity 4)
Pa 0.0000 0.5000 0.5000 (multiplicity 2)
P 0.2424 0.3360 0.7358 (multiplicity 8)
P 0.2489 0.5000 0.2646 (multiplicity 4)

Properties
The calculation puts the theoretical density at 6.86 g/cm³. As for the total magnetization: 0.000 μB/cell. The value obtained for the formation enthalpy at 0 K is -1545 meV per atom.

Below is an optimized crystal structure of PmNdHo2P4, with properties calculated at the PBE-GGA level.

Unit cell a=7.0438 b=4.0713 c=7.0484 alpha=90.00 beta=109.47 gamma=90.00
Space group P2/m (No. 10)
Inequivalent atoms, fractional coordinates:
Pm 0.0000 0.0000 0.0000 (multiplicity 1)
Nd 0.0000 0.5000 0.5000 (multiplicity 1)
Ho 0.5000 0.0000 0.5000 (multiplicity 1)
Ho 0.5000 0.5000 0.0000 (multiplicity 1)
P 0.2595 0.5000 0.2523 (multiplicity 2)
P 0.2602 0.0000 0.7544 (multiplicity 2)

Properties
The calculation puts the theoretical density at 6.47 g/cm³. As for the total magnetization: 0.000 μB/cell. The value obtained for the formation enthalpy at 0 K is -1575 meV per atom.

Below is an optimized crystal structure of Pm2NdHoP4, with properties calculated at the PBE-GGA level.

Unit cell a=7.1095 b=4.1084 c=7.1097 alpha=90.00 beta=109.46 gamma=90.00
Space group P2/m (No. 10)
Inequivalent atoms, fractional coordinates:
Pm 0.0000 0.0000 0.0000 (multiplicity 1)
Pm 0.5000 0.5000 0.0000 (multiplicity 1)
Nd 0.0000 0.5000 0.5000 (multiplicity 1)
Ho 0.5000 0.0000 0.5000 (multiplicity 1)
P 0.2544 0.0000 0.7484 (multiplicity 2)
P 0.2564 0.5000 0.2551 (multiplicity 2)

Properties
The calculation puts the theoretical density at 6.13 g/cm³. As for the total magnetization: 0.000 μB/cell. The value obtained for the formation enthalpy at 0 K is -1561 meV per atom.

Below is an optimized crystal structure of PrNd2HoP4, with properties calculated at the PBE-GGA level.

Unit cell a=7.1567 b=4.1363 c=7.1574 alpha=90.00 beta=109.45 gamma=90.00
Space group P2/m (No. 10)
Inequivalent atoms, fractional coordinates:
Pr 0.0000 0.0000 0.0000 (multiplicity 1)
Nd 0.0000 0.5000 0.5000 (multiplicity 1)
Nd 0.5000 0.0000 0.5000 (multiplicity 1)
Ho 0.5000 0.5000 0.0000 (multiplicity 1)
P 0.2551 0.5000 0.2477 (multiplicity 2)
P 0.2578 0.0000 0.7564 (multiplicity 2)

Properties
The calculation puts the theoretical density at 5.97 g/cm³. As for the total magnetization: 0.000 μB/cell. The value obtained for the formation enthalpy at 0 K is -1539 meV per atom.

Below is an optimized crystal structure of Pr2NdHoP4, with properties calculated at the PBE-GGA level.

Unit cell a=7.1719 b=4.1453 c=7.1729 alpha=90.00 beta=109.46 gamma=90.00
Space group P2/m (No. 10)
Inequivalent atoms, fractional coordinates:
Pr 0.0000 0.0000 0.0000 (multiplicity 1)
Pr 0.0000 0.5000 0.5000 (multiplicity 1)
Nd 0.5000 0.0000 0.5000 (multiplicity 1)
Ho 0.5000 0.5000 0.0000 (multiplicity 1)
P 0.2558 0.5000 0.2470 (multiplicity 2)
P 0.2592 0.0000 0.7578 (multiplicity 2)

Properties
The calculation puts the theoretical density at 5.90 g/cm³. As for the total magnetization: 0.000 μB/cell. The value obtained for the formation enthalpy at 0 K is -1534 meV per atom.

Below is an optimized crystal structure of NdHo2PuP4, with properties calculated at the PBE-GGA level.

Unit cell a=6.9708 b=4.0416 c=6.9844 alpha=90.00 beta=109.52 gamma=90.00
Space group P2/m (No. 10)
Inequivalent atoms, fractional coordinates:
Nd 0.0000 0.0000 0.0000 (multiplicity 1)
Ho 0.5000 0.0000 0.5000 (multiplicity 1)
Ho 0.5000 0.5000 0.0000 (multiplicity 1)
Pu 0.0000 0.5000 0.5000 (multiplicity 1)
P 0.2514 0.0000 0.7439 (multiplicity 2)
P 0.2563 0.5000 0.2587 (multiplicity 2)

Properties
The calculation puts the theoretical density at 7.54 g/cm³. As for the total magnetization: 4.885 μB/cell. The value obtained for the formation enthalpy at 0 K is -1460 meV per atom.

Calculated volume for the records above, in order: 22.96, 23.76, 23.81, 23.82, 24.48, 24.97, 25.13, 23.18 A^3/atom